This record from the Alexandria database describes InMo2Os after structural relaxation. The functional is PBE.

The structure in CIF format:
```
data_InMo2Os
_cell_length_a 3.098
_cell_length_b 4.655
_cell_length_c 9.298
_cell_angle_alpha 90.00
_cell_angle_beta 90.00
_cell_angle_gamma 90.00
_space_group_name_H-M_alt 'C m m m'
_space_group_IT_number 65
_space_group_name_Hall '-C 2 2'
loop_
_atom_site_label
_atom_site_fract_x
_atom_site_fract_y
_atom_site_fract_z
In1 0.000 0.000 0.000
Mo1 0.000 0.500 0.265
Os1 0.000 0.000 0.500
```

## Properties
Density of states at the Fermi level (states/eV/f.u.): 4.89
Size of the total moment (μB/f.u.): 0.0
ΔE_f (eV per atom): 0.45

This record from the Alexandria database describes PmTaP2 after structural relaxation. The functional is PBE.

The structure in CIF format:
```
data_PmTaP2
_cell_length_a 3.9520
_cell_length_b 3.9520
_cell_length_c 24.1410
_cell_angle_alpha 90.00
_cell_angle_beta 90.00
_cell_angle_gamma 120.00
_space_group_name_H-M_alt 'R -3 m'
_space_group_IT_number 166
_space_group_name_Hall '-R 3 2"'
loop_
_atom_site_label
_atom_site_fract_x
_atom_site_fract_y
_atom_site_fract_z
Pm1 0.0000 0.0000 0.0000
Ta1 0.0000 0.0000 0.5000
P1 0.0000 0.0000 0.4030
```

## Properties
Density of states at the Fermi level (states/eV/f.u.): 2.99
Energy relative to the lowest polymorph listed for this composition (eV per formula unit): 2.62
Size of the total moment (μB/f.u.): 0.5
ΔE_f (eV per atom): 0.22

This record from the Alexandria database describes Tl2SiAg after structural relaxation. The functional is PBE.

The structure in CIF format:
```
data_Tl2SiAg
_cell_length_a 3.4851
_cell_length_b 3.4851
_cell_length_c 26.9806
_cell_angle_alpha 90.00
_cell_angle_beta 90.00
_cell_angle_gamma 120.00
_space_group_name_H-M_alt 'R -3 m'
_space_group_IT_number 166
_space_group_name_Hall '-R 3 2"'
loop_
_atom_site_label
_atom_site_fract_x
_atom_site_fract_y
_atom_site_fract_z
Tl1 0.0000 0.0000 0.2487
Si1 0.0000 0.0000 0.5000
Ag1 0.0000 0.0000 0.0000
```

## Properties
Density of states at the Fermi level (states/eV/f.u.): 1.70
Energy relative to the lowest polymorph listed for this composition (eV per formula unit): 0.59
Formation energy from raw total energies (eV per atom): 0.41
Size of the total moment (μB/f.u.): 0.0

This record from the Alexandria database describes CsHf3F after structural relaxation. The functional is PBE.

The structure in CIF format:
```
data_CsHf3F
_cell_length_a 4.826
_cell_length_b 4.826
_cell_length_c 4.826
_cell_angle_alpha 90.00
_cell_angle_beta 90.00
_cell_angle_gamma 90.00
_space_group_name_H-M_alt 'P m -3 m'
_space_group_IT_number 221
_space_group_name_Hall '-P 4 2 3'
loop_
_atom_site_label
_atom_site_fract_x
_atom_site_fract_y
_atom_site_fract_z
Cs1 0.000 0.000 0.000
Hf1 0.000 0.500 0.500
F1 0.500 0.500 0.500
```

## Properties
Density of states at the Fermi level (states/eV/f.u.): 5.56
Energy relative to the lowest polymorph listed for this composition (eV per formula unit): 0.00
Formation energy from raw total energies (eV per atom): 0.49
Size of the total moment (μB/f.u.): 0.0

This record from the Alexandria database describes Be2AlCu after structural relaxation. The functional is PBE.

The structure in CIF format:
```
data_Be2AlCu
_cell_length_a 4.925
_cell_length_b 6.847
_cell_length_c 2.630
_cell_angle_alpha 90.00
_cell_angle_beta 90.00
_cell_angle_gamma 90.00
_space_group_name_H-M_alt 'C m m m'
_space_group_IT_number 65
_space_group_name_Hall '-C 2 2'
loop_
_atom_site_label
_atom_site_fract_x
_atom_site_fract_y
_atom_site_fract_z
Be1 0.250 0.250 0.000
Al1 0.000 0.000 0.500
Cu1 0.000 0.500 0.500
```

## Properties
Density of states at the Fermi level (states/eV/f.u.): 0.86
Size of the total moment (μB/f.u.): 0.0
ΔE_f (eV per atom): 0.09

This record from the Alexandria database describes NdSmTl2S4 after structural relaxation. The functional is PBE.

The structure in CIF format:
```
data_NdSmTl2S4
_cell_length_a 7.197
_cell_length_b 4.154
_cell_length_c 7.876
_cell_angle_alpha 90.00
_cell_angle_beta 107.71
_cell_angle_gamma 90.00
_space_group_name_H-M_alt 'P 1 2/m 1'
_space_group_IT_number 10
_space_group_name_Hall '-P 2y'
loop_
_atom_site_label
_atom_site_fract_x
_atom_site_fract_y
_atom_site_fract_z
Nd1 0.000 0.000 0.000
Sm1 0.500 0.500 0.000
Tl1 0.000 0.500 0.500
Tl2 0.500 0.000 0.500
S1 0.237 0.500 0.204
S2 0.269 0.000 0.797
```

## Properties
Density of states at the Fermi level (states/eV/f.u.): 0.00
Formation energy from raw total energies (eV per atom): -1.46
Size of the total moment (μB/f.u.): 0.0

This record from the Alexandria database describes SrMg2AlGa4 after structural relaxation. The functional is PBE.

The structure in CIF format:
```
data_SrMg2AlGa4
_cell_length_a 4.7527
_cell_length_b 4.7527
_cell_length_c 27.0730
_cell_angle_alpha 90.00
_cell_angle_beta 90.00
_cell_angle_gamma 120.00
_space_group_name_H-M_alt 'R -3 m'
_space_group_IT_number 166
_space_group_name_Hall '-R 3 2"'
loop_
_atom_site_label
_atom_site_fract_x
_atom_site_fract_y
_atom_site_fract_z
Sr1 0.0000 0.0000 0.0000
Mg1 0.0000 0.0000 0.2363
Al1 0.0000 0.0000 0.5000
Ga1 0.0000 0.0000 0.1280
Ga2 0.0000 0.0000 0.4032
```

## Properties
Density of states at the Fermi level (states/eV/f.u.): 3.51
Size of the total moment (μB/f.u.): 0.0
ΔE_f (eV per atom): -0.20

This record from the Alexandria database describes TlCd2 after structural relaxation. The functional is PBE.

The structure in CIF format:
```
data_TlCd2
_cell_length_a 3.067
_cell_length_b 18.940
_cell_length_c 5.368
_cell_angle_alpha 90.00
_cell_angle_beta 90.00
_cell_angle_gamma 90.00
_space_group_name_H-M_alt 'C m c m'
_space_group_IT_number 63
_space_group_name_Hall '-C 2c 2'
loop_
_atom_site_label
_atom_site_fract_x
_atom_site_fract_y
_atom_site_fract_z
Tl1 0.000 0.115 0.250
Cd1 0.000 0.218 0.750
Cd2 0.000 0.448 0.250
```

## Properties
Density of states at the Fermi level (states/eV/f.u.): 0.68
Size of the total moment (μB/f.u.): 0.0
ΔE_f (eV per atom): 0.05

This record from the Alexandria database describes Rb3AcLa2Se6 after structural relaxation. The functional is PBE.

The structure in CIF format:
```
data_Rb3AcLa2Se6
_cell_length_a 7.831
_cell_length_b 13.562
_cell_length_c 8.422
_cell_angle_alpha 90.00
_cell_angle_beta 108.06
_cell_angle_gamma 90.00
_space_group_name_H-M_alt 'C 1 2/m 1'
_space_group_IT_number 12
_space_group_name_Hall '-C 2y'
loop_
_atom_site_label
_atom_site_fract_x
_atom_site_fract_y
_atom_site_fract_z
Rb1 0.000 0.000 0.000
Rb2 0.000 0.334 0.000
Ac1 0.000 0.500 0.500
La1 0.000 0.167 0.500
Se1 0.227 0.000 0.703
Se2 0.238 0.330 0.703
```

## Properties
Density of states at the Fermi level (states/eV/f.u.): 0.00
Formation energy from raw total energies (eV per atom): -1.81
Size of the total moment (μB/f.u.): 0.0

This record from the Alexandria database describes AcH2Ir after structural relaxation. The functional is PBE.

The structure in CIF format:
```
data_AcH2Ir
_cell_length_a 8.407
_cell_length_b 4.592
_cell_length_c 6.315
_cell_angle_alpha 90.00
_cell_angle_beta 90.00
_cell_angle_gamma 90.00
_space_group_name_H-M_alt 'P n m a'
_space_group_IT_number 62
_space_group_name_Hall '-P 2ac 2n'
loop_
_atom_site_label
_atom_site_fract_x
_atom_site_fract_y
_atom_site_fract_z
Ac1 0.187 0.250 0.152
H1 0.080 0.504 0.822
Ir1 0.036 0.250 0.635
```

## Properties
Density of states at the Fermi level (states/eV/f.u.): 1.29
Energy relative to the lowest polymorph listed for this composition (eV per formula unit): 0.00
Size of the total moment (μB/f.u.): 0.0

This record from the Alexandria database describes Al2CoIrPt after structural relaxation. The functional is PBE.

The structure in CIF format:
```
data_Al2CoIrPt
_cell_length_a 4.594
_cell_length_b 4.594
_cell_length_c 4.587
_cell_angle_alpha 90.00
_cell_angle_beta 90.00
_cell_angle_gamma 90.00
_space_group_name_H-M_alt 'P 4/m m m'
_space_group_IT_number 123
_space_group_name_Hall '-P 4 2'
loop_
_atom_site_label
_atom_site_fract_x
_atom_site_fract_y
_atom_site_fract_z
Al1 0.000 0.500 0.000
Co1 0.000 0.000 0.500
Ir1 0.000 0.000 0.000
Pt1 0.500 0.500 0.500
```

## Properties
Density of states at the Fermi level (states/eV/f.u.): 3.54
Size of the total moment (μB/f.u.): 2.5
ΔE_f (eV per atom): 0.48

This record from the Alexandria database describes RbAu2Se2 after structural relaxation. The functional is PBE.

The structure in CIF format:
```
data_RbAu2Se2
_cell_length_a 4.497
_cell_length_b 4.497
_cell_length_c 13.092
_cell_angle_alpha 90.00
_cell_angle_beta 90.00
_cell_angle_gamma 90.00
_space_group_name_H-M_alt 'I 4/m m m'
_space_group_IT_number 139
_space_group_name_Hall '-I 4 2'
loop_
_atom_site_label
_atom_site_fract_x
_atom_site_fract_y
_atom_site_fract_z
Rb1 0.000 0.000 0.000
Au1 0.000 0.500 0.250
Se1 0.000 0.000 0.367
```

## Properties
Density of states at the Fermi level (states/eV/f.u.): 3.63
Energy relative to the lowest polymorph listed for this composition (eV per formula unit): 0.63
Formation energy from raw total energies (eV per atom): -0.29
Size of the total moment (μB/f.u.): 0.0

This record from the Alexandria database describes Ti2Co2Au after structural relaxation. The functional is PBE.

The structure in CIF format:
```
data_Ti2Co2Au
_cell_length_a 7.195
_cell_length_b 7.195
_cell_length_c 2.801
_cell_angle_alpha 90.00
_cell_angle_beta 90.00
_cell_angle_gamma 90.00
_space_group_name_H-M_alt 'P 4/m b m'
_space_group_IT_number 127
_space_group_name_Hall '-P 4 2ab'
loop_
_atom_site_label
_atom_site_fract_x
_atom_site_fract_y
_atom_site_fract_z
Ti1 0.147 0.353 0.000
Co1 0.138 0.638 0.500
Au1 0.000 0.000 0.000
```

## Properties
Density of states at the Fermi level (states/eV/f.u.): 3.46
Energy relative to the lowest polymorph listed for this composition (eV per formula unit): 1.18
Size of the total moment (μB/f.u.): 0.0
ΔE_f (eV per atom): -0.15